No. 1
Material: LiMgMn
Method: DFT, PBE
State: optimized geometry

Structure (extended XYZ):
```
3
Lattice="0.000 3.246 3.246 3.246 0.000 3.246 3.246 3.246 0.000" Properties=species:S:1:pos:R:3 pbc="T T T"
Li 0.000 0.000 0.000
Mg 4.870 4.870 4.870
Mn 3.246 3.246 3.246
```

calculated formation energy = 716 meV/atom
crystal system = cubic
E = -0.258 Ry/atom
N(E_F) = 2.8 states/eV/f.u.

***

No. 2
Material: TlCdHgCl
Method: DFT, PBE
State: optimized geometry

Structure (extended XYZ):
```
4
Lattice="0.000 3.863 3.863 3.863 0.000 3.863 3.863 3.863 0.000" Properties=species:S:1:pos:R:3 pbc="T T T"
Tl 0.000 0.000 0.000
Cd 3.863 3.863 3.863
Hg 1.932 1.932 1.932
Cl 5.795 5.795 5.795
```

formation energy without anion corrections = -1.266 eV/f.u.
crystal system = cubic
E = -0.123 Ry/atom
N(E_F) = 0.8 states/eV/f.u.

***

No. 3
Material: MnTeS2
Method: DFT, PBE
State: optimized geometry

Structure (extended XYZ):
```
16
Lattice="7.938 0.000 0.000 0.000 7.759 0.000 0.000 0.000 6.275" Properties=species:S:1:pos:R:3 pbc="T T T"
Mn 0.181 1.175 0.000
Mn 3.788 5.055 3.137
Mn 4.150 2.705 0.000
Mn 7.756 6.584 3.137
Te 0.144 3.853 0.016
Te 3.825 7.733 3.154
Te 4.113 0.026 0.016
Te 7.794 3.906 3.154
S 0.097 0.511 4.331
S 1.678 5.450 3.776
S 2.291 1.570 0.639
S 3.872 4.391 1.194
S 4.066 3.369 4.331
S 5.647 6.189 3.776
S 6.260 2.310 0.639
S 7.841 7.248 1.194
```

formation energy without anion corrections = -0.378 eV/f.u.
crystal system = orthorhombic
E = -0.385 Ry/atom
N(E_F) = 1.9 states/eV/f.u.

***

No. 4
Material: YTeSI2
Method: DFT, PBE
State: optimized geometry

Structure (extended XYZ):
```
5
Lattice="5.487 0.000 0.000 0.000 5.487 0.000 0.000 0.000 5.303" Properties=species:S:1:pos:R:3 pbc="T T T"
Y 0.000 0.000 0.000
Te 2.743 2.743 0.000
S 2.743 2.743 2.651
I 0.000 2.743 2.651
I 2.743 0.000 2.651
```

formation energy without anion corrections = 0.087 eV/f.u.
crystal system = tetragonal
E = -0.246 Ry/atom
N(E_F) = 2.9 states/eV/f.u.

***

No. 5
Material: ScCr2Au
Method: DFT, PBE
State: optimized geometry

Structure (extended XYZ):
```
4
Lattice="2.642 -4.557 0.000 2.642 4.557 0.000 -1.028 0.000 2.596" Properties=species:S:1:pos:R:3 pbc="T T T"
Sc 0.000 0.000 0.000
Cr 0.807 2.278 1.298
Cr 0.807 -2.278 1.298
Au 2.642 0.000 0.000
```

calculated formation energy = 364 meV/atom
crystal system = monoclinic
E = -0.503 Ry/atom
N(E_F) = 4.5 states/eV/f.u.

***

No. 6
Material: SrAgN
Method: DFT, PBE
State: optimized geometry

Structure (extended XYZ):
```
6
Lattice="4.251 0.000 0.000 -0.003 4.873 0.000 -1.417 -2.389 6.324" Properties=species:S:1:pos:R:3 pbc="T T T"
Sr 0.000 0.000 0.000
Sr 1.293 2.438 1.936
Ag 0.935 0.051 5.216
Ag 2.993 0.013 3.400
N -1.155 0.047 5.615
N 2.159 -0.001 1.477
```

formation energy without anion corrections = -0.186 eV/f.u.
crystal system = triclinic
E = -0.320 Ry/atom
N(E_F) = 0.0 states/eV/f.u.

***

No. 7
Material: EuTmNiAu
Method: DFT, PBE
State: optimized geometry

Structure (extended XYZ):
```
4
Lattice="0.000 3.538 3.538 3.538 0.000 3.538 3.538 3.538 0.000" Properties=species:S:1:pos:R:3 pbc="T T T"
Eu 0.000 0.000 0.000
Tm 3.538 3.538 3.538
Ni 1.769 1.769 1.769
Au 5.307 5.307 5.307
```

calculated formation energy = -453 meV/atom
crystal system = cubic
E = -0.471 Ry/atom
N(E_F) = 8.7 states/eV/f.u.

***

No. 8
Material: SiRu4Au
Method: DFT, PBE
State: optimized geometry

Structure (extended XYZ):
```
6
Lattice="0.000 3.612 3.612 3.612 0.000 3.612 3.612 3.612 0.000" Properties=species:S:1:pos:R:3 pbc="T T T"
Si 0.000 0.000 0.000
Ru 2.709 2.709 2.709
Ru 4.516 4.516 2.709
Ru 4.516 2.709 4.516
Ru 2.709 4.516 4.516
Au 5.418 5.418 5.418
```

formation energy without anion corrections = 4.311 eV/f.u.
crystal system = cubic
E = -0.508 Ry/atom
N(E_F) = 9.3 states/eV/f.u.

***

No. 9
Material: HfMnPb2
Method: DFT, PBE
State: optimized geometry

Structure (extended XYZ):
```
8
Lattice="-3.909 3.909 3.098 3.909 -3.909 3.098 3.909 3.909 -3.098" Properties=species:S:1:pos:R:3 pbc="T T T"
Hf 0.000 0.000 0.000
Hf 0.000 3.909 1.549
Mn 3.909 0.000 1.549
Mn 0.000 0.000 3.098
Pb 1.955 2.152 -0.775
Pb 5.666 1.955 0.775
Pb 1.955 1.757 2.324
Pb -1.757 1.955 3.873
```

calculated formation energy = 438 meV/atom
crystal system = tetragonal
E = -0.455 Ry/atom
N(E_F) = 1.4 states/eV/f.u.

***

No. 10
Material: LiMn2Pb
Method: DFT, PBE
State: optimized geometry

Structure (extended XYZ):
```
4
Lattice="3.436 0.000 0.000 0.000 3.436 0.000 0.000 0.000 6.192" Properties=species:S:1:pos:R:3 pbc="T T T"
Li 0.000 0.000 0.000
Mn 1.718 1.718 1.350
Mn 1.718 1.718 4.842
Pb 0.000 0.000 3.096
```

calculated formation energy = 417 meV/atom
crystal system = tetragonal
E = -0.410 Ry/atom
N(E_F) = 2.5 states/eV/f.u.

***

No. 11
Material: NdPb4
Method: DFT, PBE
State: optimized geometry

Structure (extended XYZ):
```
5
Lattice="5.977 0.000 0.000 0.000 5.977 0.000 0.000 0.000 5.977" Properties=species:S:1:pos:R:3 pbc="T T T"
Nd 0.000 0.000 0.000
Pb 0.000 0.000 2.988
Pb 0.000 2.988 0.000
Pb 2.988 0.000 0.000
Pb 2.988 2.988 2.988
```

calculated formation energy = 496 meV/atom
crystal system = cubic
E = -0.252 Ry/atom
N(E_F) = 5.1 states/eV/f.u.

***

No. 12
Material: Ho4RuRh3
Method: DFT, PBE
State: optimized geometry

Structure (extended XYZ):
```
8
Lattice="3.420 0.000 0.000 0.000 4.803 0.000 0.000 0.000 9.584" Properties=species:S:1:pos:R:3 pbc="T T T"
Ho 0.000 0.000 0.000
Ho 0.000 0.000 4.792
Ho 0.000 2.401 2.362
Ho 0.000 2.401 7.222
Ru 1.710 2.401 0.000
Rh 1.710 0.000 2.412
Rh 1.710 0.000 7.172
Rh 1.710 2.401 4.792
```

calculated formation energy = -790 meV/atom
crystal system = orthorhombic
E = -0.514 Ry/atom
N(E_F) = 3.6 states/eV/f.u.